# 1
# PBE-GGA Li4Al2ZnAg, relaxed
data_Li4Al2ZnAg
_cell_length_a 4.381
_cell_length_b 4.381
_cell_length_c 6.202
_cell_angle_alpha 90.00
_cell_angle_beta 90.00
_cell_angle_gamma 90.00
_space_group_name_H-M_alt 'P -4 m 2'
_space_group_IT_number 115
loop_
_space_group_symop_operation_xyz
'x,y,z'
'y,-x,-z'
'-x,-y,z'
'-y,x,-z'
'-x,y,z'
'-y,-x,-z'
'x,-y,z'
'y,x,-z'
loop_
_atom_site_label
_atom_site_type_symbol
_atom_site_fract_x
_atom_site_fract_y
_atom_site_fract_z
Li1 Li 0.000 0.000 0.000
Li2 Li 0.000 0.500 0.746
Li3 Li 0.500 0.500 0.500
Al1 Al 0.000 0.500 0.253
Zn1 Zn 0.000 0.000 0.500
Ag1 Ag 0.500 0.500 0.000
# - V: 119.0 Å³/cell
# - Uncorrected energy: -2.640 eV/atom

---

# 2
# PBE-GGA LuAlAg, relaxed
data_LuAlAg
_cell_length_a 6.697
_cell_length_b 6.697
_cell_length_c 6.697
_cell_angle_alpha 90.00
_cell_angle_beta 90.00
_cell_angle_gamma 90.00
_space_group_name_H-M_alt 'F -4 3 m'
_space_group_IT_number 216
_space_group_name_Hall 'F -4 2 3'
loop_
_atom_site_label
_atom_site_type_symbol
_atom_site_fract_x
_atom_site_fract_y
_atom_site_fract_z
Lu1 Lu 0.000 0.000 0.000
Al1 Al 0.250 0.250 0.250
Ag1 Ag 0.250 0.250 0.750
# - V: 300.3 Å³/cell
# - Uncorrected energy: -3.388 eV/atom

---

Question: The highest V belongs to which entry?
Answer: LuAlAg

---

Question: What is the V in the second record?
Answer: 300.3 Å³/cell